Pr2ZrScP4 after structural relaxation. Source: Alexandria via LeMat-Bulk, functional PBE-GGA.

- density of states at the Fermi level (states/eV per cell) = 1.6
- V (A^3/atom) = 22.11
- E_form (eV/f.u.) = -11.631

abc: 6.8574 3.9628 6.8972
angles: 90.00 109.30 90.00
With the nearest neighbours (Å) after each atom.
Space group P2/m (No. 10)
Symmetry-distinct sites (fractional):
1 Pr 0.0000 0.0000 0.0000  6 P 2.91-2.92
2 Pr 0.5000 0.5000 0.0000  6 P 2.92
3 Zr 0.0000 0.5000 0.5000  6 P 2.70-2.71
4 Sc 0.5000 0.0000 0.5000  6 P 2.71
5 P 0.2404 0.0000 0.7225  2 Zr 2.71, 1 Sc 2.71, 3 Pr 2.91-2.92
6 P 0.2584 0.5000 0.2782  1 Zr 2.70, 2 Sc 2.71, 3 Pr 2.92



Pr3PSe6 after structural relaxation. Source: Alexandria via LeMat-Bulk, functional PBE-GGA.

- formation energy (no corrections) (eV per atom) = -1.380
- V (A^3/atom) = 30.17

abc: 11.3948 14.0270 7.5509
angles: 90.00 90.00 90.00
With the nearest neighbours (Å) after each atom.
Space group Cmc2_1 (No. 36)
Symmetry-distinct sites (fractional):
1 Pr 0.0000 0.1030 0.0000  7 Se 3.02-3.12
2 Pr 0.1854 0.4020 0.0708  7 Se 2.92-3.24
3 P 0.0000 0.3103 0.6559  3 Se 2.32-2.40
4 Se 0.0000 0.2830 0.2200  3 Pr 2.92-3.02
5 Se 0.0000 0.4660 0.7860  1 P 2.40
6 Se 0.1611 0.0243 0.2865  4 Pr 2.94-3.04
7 Se 0.1623 0.2418 0.7906  1 P 2.32